Record 1
Computed, not measured: an optimized crystal structure of Pm2Zn5Au3 at the PBE level of DFT.

Values from the calculation:
crystal system = orthorhombic
distance to the lowest polymorph of the same formula = 0 kJ/mol of formula units
E_form = -489 meV/atom

Structure (extended XYZ):
```
20
Lattice="-2.998 -0.777 -3.337 -3.968 -3.535 4.388 -4.574 10.932 4.670" Properties=species:S:1:pos:R:3 pbc="T T T"
Pm -5.009 1.124 4.238
Pm -6.344 5.663 1.275
Pm -8.879 7.577 6.213
Pm -2.677 -0.969 -0.475
Zn -5.624 4.324 4.046
Zn -7.163 8.838 1.271
Zn -9.076 4.844 3.921
Zn -4.106 3.909 -0.327
Zn -6.539 -1.414 3.099
Zn -7.170 3.018 5.740
Zn -2.543 1.706 1.888
Zn -2.855 -0.861 2.766
Zn -6.492 6.706 4.271
Zn -5.598 2.508 1.339
Au -4.475 -2.276 4.551
Au -4.889 8.175 2.489
Au -3.626 4.096 2.303
Au -8.761 7.385 3.046
Au -7.604 2.801 3.074
Au -4.905 0.001 1.301
```

---

Record 2
Computed, not measured: an optimized crystal structure of Tc3OsRu at the PBE level of DFT.

Values from the calculation:
crystal system = triclinic
distance to the lowest polymorph of the same formula = 51 kJ/mol of formula units
E_form = 57 meV/atom

Structure (extended XYZ):
```
5
Lattice="-3.080 -2.468 2.607 3.015 -2.653 2.508 0.094 0.836 3.779" Properties=species:S:1:pos:R:3 pbc="T T T"
Ru -0.609 -1.463 4.738
Tc -0.001 -2.860 7.018
Tc 1.196 -1.328 2.682
Tc 1.801 -2.763 4.976
Os -2.496 -2.439 3.015
```

---

Record 3
Computed, not measured: an optimized crystal structure of RbTl2InNi at the PBE level of DFT.

Values from the calculation:
crystal system = tetragonal
E_form = 20 meV/atom

Structure (extended XYZ):
```
5
Lattice="-3.814 3.278 -1.724 -3.284 -3.988 -0.317 -1.529 0.860 5.019" Properties=species:S:1:pos:R:3 pbc="T T T"
Tl -1.907 1.639 -0.862
Tl -0.764 0.430 2.509
In -1.642 -1.994 -0.159
Ni 0.000 0.000 0.000
Rb -4.314 0.075 1.489
```

---

Record 4
Computed, not measured: an optimized crystal structure of Zn4BSe2 at the PBE level of DFT.

Values from the calculation:
total energy = -2.636 eV per atom
crystal system = tetragonal

Structure (extended XYZ):
```
7
Lattice="-3.976 0.927 -0.163 -0.493 -1.449 3.788 -0.796 6.389 4.544" Properties=species:S:1:pos:R:3 pbc="T T T"
Se -3.534 3.800 5.401
Se -1.731 2.067 2.769
B 0.000 0.000 0.000
Zn -0.246 -0.725 1.894
Zn -1.988 0.463 -0.081
Zn -4.020 1.551 4.477
Zn -1.245 4.315 3.692
```

---

Record 5
Computed, not measured: an optimized crystal structure of PrMgNi at the PBE level of DFT.

Values from the calculation:
crystal system = orthorhombic
E_form = -256 meV/atom

Structure (extended XYZ):
```
18
Lattice="-0.344 0.267 -3.949 4.597 -6.073 -0.811 -10.444 -7.955 0.372" Properties=species:S:1:pos:R:3 pbc="T T T"
Pr -1.992 -2.807 -0.016
Pr -8.947 -9.022 0.170
Pr -3.855 -11.221 -0.423
Pr -1.247 -8.318 -0.453
Pr -4.600 -5.710 0.015
Pr 3.101 -5.006 -0.608
Ni -4.197 -3.444 -1.866
Ni -5.313 -12.846 -2.404
Ni -5.792 -8.663 -0.081
Ni -1.993 -10.317 -2.522
Ni -0.877 -0.915 -1.984
Ni -0.055 -5.365 -0.358
Mg -7.026 -7.126 -1.868
Mg 0.437 -3.537 -2.275
Mg -4.158 -8.343 -2.200
Mg -2.033 -5.418 -2.187
Mg -6.628 -10.224 -2.112
Mg 0.836 -6.636 -2.519
```

---

Record 6
Computed, not measured: an optimized crystal structure of PrDy3In3 at the PBE level of DFT.

Values from the calculation:
crystal system = hexagonal
distance to the lowest polymorph of the same formula = 0 kJ/mol of formula units
E_form = -362 meV/atom

Structure (extended XYZ):
```
14
Lattice="-3.511 -3.621 -1.169 4.554 -6.204 5.540 -6.845 5.466 3.632" Properties=species:S:1:pos:R:3 pbc="T T T"
Pr -0.124 -3.219 4.612
Pr -5.679 -1.140 3.391
Dy -3.336 -4.720 7.442
Dy -2.644 -1.465 6.748
Dy 0.857 -7.475 3.385
Dy -3.158 -2.894 1.255
Dy -6.660 3.116 4.619
Dy -2.467 0.360 0.561
In -1.011 -6.404 5.676
In -4.791 2.044 2.327
In -3.580 -3.544 4.535
In -4.757 0.782 6.133
In -2.222 -0.815 3.468
In -1.046 -5.142 1.871
```

---

Calculated volume, 393.2; 72.1; 146.3; 122.4; 399.6; 403.2 Å³/cell (same order as the records).